Record 1
Pr2GdLu | PBE | relaxed

Calculated volume   33.47 Å³/atom
Energy relative to the elements   0.018 eV per atom
Electronic total energy   -28.09 eV/f.u.
SG   P4/mmm (123)

a b c (Å): 3.647 3.647 10.065
angles (deg): 90.00 90.00 90.00
Fractional positions:
Pr (0.000, 0.000, 0.245)
Pr (0.000, 0.000, 0.755)
Gd (0.500, 0.500, 0.500)
Lu (0.500, 0.500, 0.000)

Record 2
Ac5Cd4Hg | PBE | relaxed

Calculated volume   33.96 Å³/atom
Energy relative to the elements   -0.329 eV per atom
Electronic total energy   -27.80 eV/f.u.
SG   P4/mmm (123)

a b c (Å): 4.082 4.082 20.379
angles (deg): 90.00 90.00 90.00
Fractional positions:
Ac (0.000, 0.000, 0.000)
Ac (0.000, 0.000, 0.201)
Ac (0.000, 0.000, 0.401)
Ac (0.000, 0.000, 0.599)
Ac (0.000, 0.000, 0.799)
Cd (0.500, 0.500, 0.100)
Cd (0.500, 0.500, 0.300)
Cd (0.500, 0.500, 0.700)
Cd (0.500, 0.500, 0.900)
Hg (0.500, 0.500, 0.500)

Record 3
Nd3Cd2Hg3 | PBE | relaxed

Calculated volume   27.13 Å³/atom
Energy relative to the elements   -0.367 eV per atom
Electronic total energy   -19.97 eV/f.u.
Distance to the lowest polymorph of the same formula   0.000 eV/atom
SG   Immm (71)

a b c (Å): 3.975 5.334 20.472
angles (deg): 90.00 90.00 90.00
Fractional positions:
Nd (0.000, 0.000, 0.000)
Nd (0.000, 0.500, 0.135)
Nd (0.000, 0.500, 0.865)
Nd (0.500, 0.000, 0.365)
Nd (0.500, 0.000, 0.635)
Nd (0.500, 0.500, 0.500)
Cd (0.000, 0.000, 0.237)
Cd (0.000, 0.000, 0.763)
Cd (0.500, 0.500, 0.263)
Cd (0.500, 0.500, 0.737)
Hg (0.000, 0.000, 0.500)
Hg (0.000, 0.500, 0.377)
Hg (0.000, 0.500, 0.623)
Hg (0.500, 0.000, 0.123)
Hg (0.500, 0.000, 0.877)
Hg (0.500, 0.500, 0.000)

Among the records above, which one has the highest energy relative to the elements?
Pr2GdLu